Entry 1:
Computed, not measured: an optimized crystal structure of La7Pr2Dy at the PBE-GGA level of DFT.

Lattice parameters (Å, degrees): 3.5409 12.1442 9.0531 112.39 90.00 90.00
Last column: nearest neighbours and their distance in Å.
Element x y z (fractional)
La1 0.0000 0.6106 0.2191  11 La 3.54-3.90, 2 Pr 3.73
La2 0.0000 0.3893 0.7809  11 La 3.54-3.90, 2 Pr 3.73
La3 0.5000 0.1932 0.3833  2 Pr 3.37-3.49, 4 La 3.46-3.54
La4 0.5000 0.8068 0.6167  2 Pr 3.37-3.49, 4 La 3.46-3.54
La5 0.5000 0.3102 0.0874  1 Pr 3.41, 8 La 3.48-3.81
La6 0.5000 0.6898 0.9126  1 Pr 3.41, 8 La 3.48-3.81
La7 0.5000 0.5000 0.5000  10 La 3.46-3.74
Pr1 0.5000 0.8975 0.2940  5 La 3.37-3.73, 3 Pr 3.54-3.61
Pr2 0.5000 0.1025 0.7060  5 La 3.37-3.73, 3 Pr 3.54-3.61
Dy1 0.0000 0.0000 0.0000  2 Dy 3.54, 4 Pr 3.78, 8 La 3.81-3.96

Calculated values
**ΔE to the lowest computed polymorph**: 0 meV per atom
**Energy**: -47.42 eV for the cell shown
**Calculated density**: 6536 kg/m³

Entry 2:
Computed, not measured: an optimized crystal structure of MgInBi2 at the PBE-GGA level of DFT.

Lattice parameters (Å, degrees): 4.5404 4.5404 7.2380 71.72 71.72 60.00
Last column: nearest neighbours and their distance in Å.
Element x y z (fractional)
Mg1 0.0000 0.0000 0.0000  6 Bi 3.05
In1 0.5000 0.5000 0.5000  6 Bi 3.18
Bi1 0.2560 0.2560 0.2319  3 Mg 3.05, 3 In 3.18
Bi2 0.7440 0.7440 0.7681  3 Mg 3.05, 3 In 3.18

Calculated values
**Energy**: -11.98 eV for the cell shown
**Calculated density**: 7680 kg/m³

Entry 3:
Computed, not measured: an optimized crystal structure of Tm2SbPd6 at the PBE-GGA level of DFT.

Lattice parameters (Å, degrees): 3.9998 7.7659 7.4514 121.41 105.54 90.00
Last column: nearest neighbours and their distance in Å.
Element x y z (fractional)
Tm1 0.6564 0.6571 0.3143  8 Pd 2.81-2.87
Tm2 0.3436 0.3429 0.6857  8 Pd 2.81-2.87
Sb1 0.0000 0.0000 0.0000  8 Pd 2.65-2.72
Pd1 0.1657 0.4023 0.3322  1 Sb 2.72, 3 Tm 2.81-2.87, 4 Pd 2.83-2.86
Pd2 0.8343 0.0701 0.6678  1 Sb 2.72, 3 Tm 2.81-2.87, 4 Pd 2.83-2.86
Pd3 0.8343 0.5977 0.6678  1 Sb 2.72, 3 Tm 2.81-2.87, 4 Pd 2.83-2.86
Pd4 0.5000 0.2246 0.0000  2 Sb 2.65, 4 Pd 2.83, 2 Tm 2.86
Pd5 0.1657 0.9299 0.3322  1 Sb 2.72, 3 Tm 2.81-2.87, 4 Pd 2.83-2.86
Pd6 0.5000 0.7754 0.0000  2 Sb 2.65, 4 Pd 2.83, 2 Tm 2.86

Calculated values
**Energy relative to the elements, uncorrected**: -0.561 eV per atom
**Energy**: -49.27 eV for the cell shown
**Calculated density**: 9722 kg/m³

Entry 4:
Computed, not measured: an optimized crystal structure of Pm3Nd4Dy at the PBE-GGA level of DFT.

Lattice parameters (Å, degrees): 3.5251 6.9473 12.0186 106.73 98.43 90.00
Last column: nearest neighbours and their distance in Å.
Element x y z (fractional)
Dy1 0.5000 0.0000 0.0000  2 Dy 3.53, 8 Pm 3.71-3.90, 4 Nd 3.72
Nd1 0.7416 0.2405 0.4831  9 Nd 3.53-3.93, 3 Pm 3.56-3.62
Nd2 0.2584 0.7595 0.5169  9 Nd 3.53-3.93, 3 Pm 3.56-3.62
Nd3 0.1235 0.3643 0.2470  3 Pm 3.34-3.61, 5 Nd 3.53-3.62, 2 Dy 3.72
Nd4 0.8765 0.6357 0.7530  3 Pm 3.34-3.61, 5 Nd 3.53-3.62, 2 Dy 3.72
Pm1 0.0000 0.5000 0.0000  2 Nd 3.34, 4 Pm 3.34-3.53
Pm2 0.1234 0.8835 0.2469  5 Nd 3.34-3.62, 3 Pm 3.34-3.53, 2 Dy 3.71
Pm3 0.8766 0.1165 0.7531  5 Nd 3.34-3.62, 3 Pm 3.34-3.53, 2 Dy 3.71

Calculated values
**ΔE to the lowest computed polymorph**: 119 meV per atom
**Energy**: -36.72 eV for the cell shown
**Calculated density**: 7001 kg/m³

Entry 5:
Computed, not measured: an optimized crystal structure of Rb2NaGa2 at the PBE-GGA level of DFT.

Lattice parameters (Å, degrees): 3.9739 3.9739 13.4173 81.48 81.48 90.00
Last column: nearest neighbours and their distance in Å.
Element x y z (fractional)
Na1 0.0000 0.0000 0.0000  4 Na 3.97, 8 Rb 4.39
Ga1 0.7500 0.2500 0.5000  4 Ga 2.81
Ga2 0.2500 0.7500 0.5000  4 Ga 2.81
Rb1 0.3715 0.3715 0.2571  4 Ga 3.76, 4 Rb 3.97
Rb2 0.6285 0.6285 0.7429  4 Ga 3.76, 4 Rb 3.97

Calculated values
**ΔE to the lowest computed polymorph**: 0 meV per atom
**Energy**: -8.89 eV for the cell shown
**Calculated density**: 2672 kg/m³

Entry 6:
Computed, not measured: an optimized crystal structure of CdIr3Rh at the PBE-GGA level of DFT.

Lattice parameters (Å, degrees): 4.7349 4.7349 4.7349 90.00 90.00 90.00
Last column: nearest neighbours and their distance in Å.
Element x y z (fractional)
Ir1 0.0000 0.5000 0.0000  2 Rh 2.37
Ir2 0.0000 0.0000 0.5000  2 Rh 2.37
Ir3 0.5000 0.0000 0.0000  2 Rh 2.37
Rh1 0.0000 0.0000 0.0000  6 Ir 2.37
Cd1 0.5000 0.5000 0.5000  12 Ir 3.35

Calculated values
**ΔE to the lowest computed polymorph**: 0 meV per atom
**Energy**: -26.22 eV for the cell shown
**Calculated density**: 12388 kg/m³

The records above give, respectively, magnetic moment values of 0.000; 0.000; 0.000; 0.000; 0.000; 0.000 Bohr magnetons per cell.
The records above give, respectively, Fermi-level density of states values of 19.30; 1.95; 2.38; 13.29; 2.05; 9.61 states/eV per cell.